No. 1
TiAlFe2Ru, relaxed, DFT PBE; volume = 17.3 Å³/atom; calculated total energy = -32.61 eV for the cell shown
1.0
4.387 0.000 0.000
0.000 4.486 0.000
0.000 0.000 4.387
Ru Al Fe Ti
1 1 2 1
direct
0.000 0.000 0.000
0.000 0.500 0.000
0.000 0.000 0.500
0.500 0.000 0.000
0.500 0.500 0.500

***

No. 2
Ti5Al2Fe2Ru, relaxed, DFT PBE; volume = 15.5 Å³/atom; calculated total energy = -152.21 eV for the cell shown
1.0
3.012 0.000 0.000
0.000 10.130 0.000
0.000 0.000 10.130
Ti Al Fe Ru
10 4 4 2
direct
0.500 0.199 0.069
0.500 0.801 0.931
0.500 0.069 0.801
0.500 0.699 0.431
0.500 0.931 0.199
0.500 0.301 0.569
0.500 0.569 0.699
0.500 0.431 0.301
0.500 0.500 0.000
0.500 0.000 0.500
0.000 0.674 0.174
0.000 0.326 0.826
0.000 0.174 0.326
0.000 0.826 0.674
0.000 0.132 0.632
0.000 0.868 0.368
0.000 0.632 0.868
0.000 0.368 0.132
0.000 0.000 0.000
0.000 0.500 0.500

***

No. 3
UAlFeRu, relaxed, DFT PBE; volume = 16.0 Å³/atom; calculated total energy = -33.72 eV for the cell shown
1.0
-2.071 3.959 -0.448
-4.367 0.145 -1.037
-2.994 1.328 3.072
Ru U Fe Al
1 1 1 1
direct
0.250 0.250 0.250
0.500 0.500 0.500
0.750 0.750 0.750
0.000 0.000 0.000